1.
Compound: YFe4Sb
Source: Alexandria via LeMat-Bulk
Functional: PBE
Structure: relaxed

Values from the calculation:
ΔE_f (raw) in meV per atom: -54
Space-group type: No. 216
Energy in eV per cell: -44.8
V in Å³ per atom: 15.26

Unit cell a=5.059 b=5.059 c=5.059 alpha=60.00 beta=60.00 gamma=60.00
Last column: magnetic moment on the atom in μB.
Positions (direct):
Y: 0.000 0.000 0.000  -0.30
Fe: 0.875 0.375 0.375  2.09
Fe: 0.375 0.375 0.875  2.09
Fe: 0.375 0.875 0.375  2.09
Fe: 0.375 0.375 0.375  2.09
Sb: 0.750 0.750 0.750  -0.01

=====

2.
Compound: YFe4Sb2
Source: Alexandria via LeMat-Bulk
Functional: PBE
Structure: relaxed

Values from the calculation:
ΔE_f (raw) in meV per atom: 1103
Space-group type: No. 139
Energy in eV per cell: -40.8
V in Å³ per atom: 21.33

Unit cell a=4.634 b=4.634 c=7.686 alpha=72.45 beta=72.45 gamma=90.00
Last column: magnetic moment on the atom in μB.
Positions (direct):
Y: 0.000 0.000 0.000  -0.31
Sb: 0.617 0.617 0.766  -0.02
Sb: 0.383 0.383 0.234  -0.02
Fe: 0.800 0.800 0.399  2.99
Fe: 0.200 0.200 0.601  2.99
Fe: 0.000 0.500 0.000  1.78
Fe: 0.500 0.000 0.000  1.78

=====

3.
Compound: YbFe4Sb12
Source: Alexandria via LeMat-Bulk
Functional: PBE
Structure: relaxed

Values from the calculation:
ΔE_f (raw) in meV per atom: -163
Space-group type: No. 204
Energy in eV per cell: -87.6
V in Å³ per atom: 22.78

Unit cell a=7.953 b=7.953 c=7.953 alpha=109.47 beta=109.47 gamma=109.47
Last column: magnetic moment on the atom in μB.
Positions (direct):
Yb: 0.000 0.000 0.000  0.17
Fe: 0.500 0.500 0.500  0.59
Fe: 0.500 0.000 0.000  0.59
Fe: 0.000 0.500 0.000  0.59
Fe: 0.000 0.000 0.500  0.59
Sb: 0.838 0.666 0.504  -0.01
Sb: 0.162 0.334 0.496  -0.01
Sb: 0.162 0.666 0.828  -0.01
Sb: 0.838 0.334 0.172  -0.01
Sb: 0.666 0.504 0.838  -0.01
Sb: 0.334 0.496 0.162  -0.01
Sb: 0.666 0.828 0.162  -0.01
Sb: 0.334 0.172 0.838  -0.01
Sb: 0.504 0.838 0.666  -0.01
Sb: 0.496 0.162 0.334  -0.01
Sb: 0.172 0.838 0.334  -0.01
Sb: 0.828 0.162 0.666  -0.01

=====

4.
Compound: ZnFeSb2
Source: Alexandria via LeMat-Bulk
Functional: PBE
Structure: relaxed

Values from the calculation:
ΔE_f (raw) in meV per atom: 381
Space-group type: No. 71
Energy in eV per cell: -16.5
V in Å³ per atom: 20.29

Unit cell a=5.149 b=5.149 c=5.149 alpha=135.11 beta=119.87 gamma=78.09
Last column: magnetic moment on the atom in μB.
Positions (direct):
Fe: 0.250 0.750 0.500  2.71
Sb: 0.001 0.001 0.000  -0.02
Sb: 0.499 0.499 0.000  -0.02
Zn: 0.750 0.250 0.500  0.00

=====

- The highest energy belongs to which entry?
  ZnFeSb2

=====

- The lowest energy belongs to which entry?
  YbFe4Sb12

=====

- Which value of ΔE_f (raw) does entry 3 give?
  -163 meV per atom

=====

- Which value of ΔE_f (raw) does entry 3 give?
  -163 meV per atom